Record 1
Below is YNp2As3 after structural relaxation, with properties calculated at the PBE level.

Computed properties:
V   24.6 Å³ per atom
D(E_F)   18.468 states/eV/f.u.
Space group   Fddd, No. 70
E   -8.69 eV per atom
Crystal system   orthorhombic

Cell and atoms, written as CIF:
```
data_YNp2As3
_cell_length_a 7.123
_cell_length_b 7.123
_cell_length_c 13.000
_cell_angle_alpha 100.52
_cell_angle_beta 100.52
_cell_angle_gamma 109.47
_space_group_name_H-M_alt 'P 1'
_space_group_IT_number 1
loop_
_space_group_symop_operation_xyz
'x,y,z'
loop_
_atom_site_label
_atom_site_type_symbol
_atom_site_fract_x
_atom_site_fract_y
_atom_site_fract_z
Y1 Y 0.167 0.667 0.333
Y2 Y 0.333 0.833 0.667
Y3 Y 0.917 0.917 0.833
Y4 Y 0.083 0.083 0.167
As1 As 0.915 0.917 0.334
As2 As 0.335 0.833 0.166
As3 As 0.083 0.085 0.666
As4 As 0.831 0.333 0.166
As5 As 0.998 0.498 0.500
As6 As 0.583 0.581 0.666
As7 As 0.748 0.748 0.000
As8 As 0.419 0.417 0.334
As9 As 0.667 0.169 0.834
As10 As 0.167 0.665 0.834
As11 As 0.252 0.252 0.000
As12 As 0.502 0.002 0.500
Np1 Np 0.500 0.000 0.999
Np2 Np 0.000 0.500 0.001
Np3 Np 0.416 0.416 0.832
Np4 Np 0.834 0.334 0.668
Np5 Np 0.750 0.750 0.501
Np6 Np 0.666 0.166 0.332
Np7 Np 0.250 0.250 0.499
Np8 Np 0.584 0.584 0.168
```



Record 2
Below is Hf5Zn4In after structural relaxation, with properties calculated at the PBE level.

Computed properties:
V   18.8 Å³ per atom
D(E_F)   3.528 states/eV/f.u.
Space group   P4/mmm, No. 123
E   -5.92 eV per atom
Crystal system   tetragonal

Cell and atoms, written as CIF:
```
data_Hf5Zn4In
_cell_length_a 3.238
_cell_length_b 3.238
_cell_length_c 17.922
_cell_angle_alpha 90.00
_cell_angle_beta 90.00
_cell_angle_gamma 90.00
_space_group_name_H-M_alt 'P 1'
_space_group_IT_number 1
loop_
_space_group_symop_operation_xyz
'x,y,z'
loop_
_atom_site_label
_atom_site_type_symbol
_atom_site_fract_x
_atom_site_fract_y
_atom_site_fract_z
Hf1 Hf 0.500 0.500 0.500
Hf2 Hf 0.500 0.500 0.690
Hf3 Hf 0.500 0.500 0.310
Hf4 Hf 0.500 0.500 0.882
Hf5 Hf 0.500 0.500 0.118
Zn1 Zn 0.000 0.000 0.406
Zn2 Zn 0.000 0.000 0.785
Zn3 Zn 0.000 0.000 0.215
Zn4 Zn 0.000 0.000 0.594
In1 In 0.000 0.000 0.000
```



Look up the E of the second one.
-5.92 eV per atom



Please write out number 2 again, unchanged.
Below is Hf5Zn4In after structural relaxation, with properties calculated at the PBE level.

Computed properties:
V   18.8 Å³ per atom
D(E_F)   3.528 states/eV/f.u.
Space group   P4/mmm, No. 123
E   -5.92 eV per atom
Crystal system   tetragonal

Cell and atoms, written as CIF:
```
data_Hf5Zn4In
_cell_length_a 3.238
_cell_length_b 3.238
_cell_length_c 17.922
_cell_angle_alpha 90.00
_cell_angle_beta 90.00
_cell_angle_gamma 90.00
_space_group_name_H-M_alt 'P 1'
_space_group_IT_number 1
loop_
_space_group_symop_operation_xyz
'x,y,z'
loop_
_atom_site_label
_atom_site_type_symbol
_atom_site_fract_x
_atom_site_fract_y
_atom_site_fract_z
Hf1 Hf 0.500 0.500 0.500
Hf2 Hf 0.500 0.500 0.690
Hf3 Hf 0.500 0.500 0.310
Hf4 Hf 0.500 0.500 0.882
Hf5 Hf 0.500 0.500 0.118
Zn1 Zn 0.000 0.000 0.406
Zn2 Zn 0.000 0.000 0.785
Zn3 Zn 0.000 0.000 0.215
Zn4 Zn 0.000 0.000 0.594
In1 In 0.000 0.000 0.000
```